Entry from Alexandria via LeMat-Bulk: an optimized crystal structure of Ca2TaFe (GGA-PBE).

Properties
Space-group type   R-3m (166)
Distance to the lowest polymorph of the same formula   569 meV per atom
ρ   5.89 g/cm3
DOS(E_F)   1.250 states/eV per atom
DFT formation energy   0.827 eV per atom

```
12
Lattice="3.154 0.000 0.000 -1.577 2.732 0.000 0.000 0.000 31.102" Properties=species:S:1:pos:R:3 pbc="T T T"
Ca 0.000 0.000 7.623
Ca 0.000 0.000 23.479
Ca 0.000 1.821 13.112
Ca 0.000 1.821 28.357
Ca 1.577 0.911 2.745
Ca 1.577 0.911 17.990
Ta 0.000 0.000 0.000
Ta 0.000 1.821 20.735
Ta 1.577 0.911 10.367
Fe 0.000 0.000 15.551
Fe 0.000 1.821 5.184
Fe 1.577 0.911 25.918
```


Entry from Alexandria via LeMat-Bulk: an optimized crystal structure of Ca2TaFe (GGA-PBE).

Properties
Space-group type   Imm2 (44)
Distance to the lowest polymorph of the same formula   193 meV per atom
ρ   5.59 g/cm3
DOS(E_F)   0.858 states/eV per atom
DFT formation energy   0.452 eV per atom

```
8
Lattice="3.387 0.000 0.000 0.000 5.427 0.000 0.000 0.000 10.242" Properties=species:S:1:pos:R:3 pbc="T T T"
Ca 0.000 0.000 0.000
Ca 0.000 2.714 2.048
Ca 1.693 0.000 7.168
Ca 1.693 2.714 5.121
Ta 0.000 0.000 4.037
Ta 1.693 2.714 9.158
Fe 0.000 2.714 7.601
Fe 1.693 0.000 2.480
```


Entry from Alexandria via LeMat-Bulk: an optimized crystal structure of Ca2TaFe (GGA-PBE).

Properties
Space-group type   P2/m (10)
Distance to the lowest polymorph of the same formula   600 meV per atom
ρ   5.96 g/cm3
DOS(E_F)   1.468 states/eV per atom
DFT formation energy   0.859 eV per atom

```
4
Lattice="2.984 0.000 0.000 0.000 5.008 0.000 -0.285 0.000 5.907" Properties=species:S:1:pos:R:3 pbc="T T T"
Ca -0.017 0.000 1.511
Ca 2.716 0.000 4.396
Ta 1.492 2.504 0.000
Fe 1.350 2.504 2.953
```


Entry from Alexandria via LeMat-Bulk: an optimized crystal structure of Ca2Ta2Fe (GGA-PBE).

Properties
Space-group type   P4/mbm (127)
Distance to the lowest polymorph of the same formula   433 meV per atom
ρ   6.85 g/cm3
DOS(E_F)   2.396 states/eV per atom
DFT formation energy   1.527 eV per atom

```
10
Lattice="9.015 0.000 0.000 0.000 9.015 0.000 0.000 0.000 2.971" Properties=species:S:1:pos:R:3 pbc="T T T"
Ca 1.787 2.720 0.000
Ca 2.720 7.228 0.000
Ca 6.295 1.787 0.000
Ca 7.228 6.295 0.000
Ta 0.871 5.378 1.486
Ta 3.637 0.871 1.486
Ta 5.378 8.144 1.486
Ta 8.144 3.637 1.486
Fe 0.000 0.000 0.000
Fe 4.507 4.507 0.000
```


Entry from Alexandria via LeMat-Bulk: an optimized crystal structure of CaTaFe4 (GGA-PBE).

Properties
Space-group type   F-43m (216)
ρ   8.55 g/cm3
DOS(E_F)   0.850 states/eV per atom
DFT formation energy   0.133 eV per atom

```
6
Lattice="0.000 3.508 3.508 3.508 0.000 3.508 3.508 3.508 0.000" Properties=species:S:1:pos:R:3 pbc="T T T"
Ca 0.000 0.000 0.000
Ta 1.754 1.754 1.754
Fe 4.382 2.634 2.634
Fe 2.634 4.382 2.634
Fe 2.634 2.634 4.382
Fe 4.382 4.382 4.382
```


Entry from Alexandria via LeMat-Bulk: an optimized crystal structure of CaTaFe2 (GGA-PBE).

Properties
Space-group type   Amm2 (38)
Distance to the lowest polymorph of the same formula   182 meV per atom
ρ   7.41 g/cm3
DOS(E_F)   0.909 states/eV per atom
DFT formation energy   0.381 eV per atom

```
8
Lattice="3.681 0.000 0.000 0.000 3.561 0.000 0.000 0.000 11.374" Properties=species:S:1:pos:R:3 pbc="T T T"
Ca 0.000 0.000 0.000
Ca 0.000 1.780 5.687
Ta 1.840 0.000 3.235
Ta 1.840 1.780 8.922
Fe 0.000 0.000 8.406
Fe 0.000 1.780 2.719
Fe 1.840 0.000 7.134
Fe 1.840 1.780 1.447
```


Entry from Alexandria via LeMat-Bulk: an optimized crystal structure of CaTaFe (GGA-PBE).

Properties
Space-group type   P3m1 (156)
Distance to the lowest polymorph of the same formula   249 meV per atom
ρ   7.37 g/cm3
DOS(E_F)   1.120 states/eV per atom
DFT formation energy   0.561 eV per atom

```
3
Lattice="3.274 0.000 0.000 -1.637 2.836 0.000 0.000 0.000 6.722" Properties=species:S:1:pos:R:3 pbc="T T T"
Ca 0.000 0.000 0.000
Ta 0.000 1.890 3.744
Fe 1.637 0.945 2.299
```


Entry from Alexandria via LeMat-Bulk: an optimized crystal structure of CaTaFe2 (GGA-PBE).

Properties
Space-group type   P4mm (99)
Distance to the lowest polymorph of the same formula   205 meV per atom
ρ   7.64 g/cm3
DOS(E_F)   1.514 states/eV per atom
DFT formation energy   0.404 eV per atom

```
4
Lattice="3.118 0.000 0.000 0.000 3.118 0.000 0.000 0.000 7.432" Properties=species:S:1:pos:R:3 pbc="T T T"
Ca 0.000 0.000 0.000
Ta 1.559 1.559 4.791
Fe 0.000 0.000 3.381
Fe 1.559 1.559 2.185
```